No. 1
DFT (GGA-PBE) results for a relaxed PmHgP crystal.

Cell lengths 4.2192, 4.2192, 4.9996 Å; angles 90.00, 90.00, 120.00 degrees
With the nearest neighbours (Å) after each atom.
Fractional positions:
Pm: 0.0000 0.0000 0.0000  3 P 2.82
Hg: 0.3333 0.6667 0.5734  3 P 2.83
P: 0.6667 0.3333 0.2848  3 Pm 2.82, 3 Hg 2.83

## Properties
DFT formation energy	-0.708	eV/atom
DFT total energy	-12.586	eV/f.u.
crystal system	trigonal

No. 2
DFT (GGA-PBE) results for a relaxed PmHg2P2Pt7 crystal.

Cell lengths 4.0067, 4.0067, 14.8468 Å; angles 97.69, 97.69, 89.98 degrees
With the nearest neighbours (Å) after each atom.
Fractional positions:
Pm: 0.0000 0.0000 0.0000  12 Pt 2.83-3.03
Hg: 0.2043 0.2043 0.4111  5 Pt 2.82-2.84
Hg: 0.7957 0.7957 0.5889  5 Pt 2.82-2.84
P: 0.3791 0.3791 0.7564  5 Pt 2.21-2.38
P: 0.6209 0.6209 0.2436  5 Pt 2.21-2.38
Pt: 0.0776 0.5778 0.1558  2 P 2.38
Pt: 0.3036 0.3036 0.6045  1 P 2.21
Pt: 0.4222 0.9224 0.8442  2 P 2.38
Pt: 0.5000 0.5000 0.0000  4 Pm 2.83, 8 Pt 3.03
Pt: 0.5778 0.0776 0.1558  2 P 2.38
Pt: 0.6964 0.6964 0.3955  1 P 2.21
Pt: 0.9224 0.4222 0.8442  2 P 2.38

## Properties
DFT formation energy	-0.492	eV/atom
DFT total energy	-64.361	eV/f.u.
crystal system	monoclinic

No. 3
DFT (GGA-PBE) results for a relaxed Pm4HgPS2 crystal.

Cell lengths 7.2108, 4.1116, 7.2276 Å; angles 90.00, 108.99, 90.00 degrees
With the nearest neighbours (Å) after each atom.
Fractional positions:
Pm: 0.2300 0.0000 0.2314  3 S 2.82-2.95, 1 P 2.94, 2 Hg 3.05
Pm: 0.2369 0.5000 0.7541  3 S 2.84-2.96, 2 P 2.91, 1 Hg 3.04
Pm: 0.7631 0.5000 0.2459  3 S 2.84-2.96, 2 P 2.91, 1 Hg 3.04
Pm: 0.7700 0.0000 0.7686  3 S 2.82-2.95, 1 P 2.94, 2 Hg 3.05
Hg: 0.5000 0.5000 0.5000  6 Pm 3.04-3.05
P: 0.0000 0.0000 0.5000  6 Pm 2.91-2.94
S: 0.0000 0.5000 0.0000  6 Pm 2.82-2.84
S: 0.5000 0.0000 0.0000  6 Pm 2.95-2.96

## Properties
DFT total energy	-44.786	eV/f.u.
crystal system	monoclinic
formation energy from raw total energies	-1.48	eV/atom